Entry 1:
Al3CoIr: relaxed, PBE.

a b c (Å): 4.3068 4.3068 4.3068
angles (deg): 90.00 90.00 90.00
Fractional positions:
Al 0.0000 0.0000 0.5000
Al 0.0000 0.5000 0.0000
Al 0.5000 0.0000 0.0000
Co 0.0000 0.0000 0.0000
Ir 0.5000 0.5000 0.5000

Size of the total moment   0.00 μB per formula unit
Energy above the most stable polymorph in this dataset   0.813 eV/atom
DFT formation energy   0.200 eV per atom

***

Entry 2:
Ce2Sm2Ge4Rh: relaxed, PBE.

a b c (Å): 6.5306 6.5306 6.5306
angles (deg): 112.14 112.14 104.25
Fractional positions:
Ce 0.1739 0.1739 0.0000
Ce 0.8261 0.8261 0.0000
Sm 0.2500 0.7500 0.5000
Sm 0.7500 0.2500 0.5000
Ge 0.2576 0.2576 0.5153
Ge 0.2576 0.7424 0.0000
Ge 0.7424 0.2576 0.0000
Ge 0.7424 0.7424 0.4847
Rh 0.5000 0.5000 0.0000

Size of the total moment   1.42 μB per formula unit
DFT formation energy   -0.546 eV per atom

***

Entry 3:
Tl3Cu2WS6: relaxed, PBE.

a b c (Å): 6.2425 6.2425 7.7170
angles (deg): 99.69 99.69 115.52
Fractional positions:
Tl 0.0000 0.0000 0.0000
Tl 0.3390 0.6610 0.0000
Tl 0.6610 0.3390 0.0000
Cu 0.1733 0.8267 0.5000
Cu 0.8267 0.1733 0.5000
W 0.5000 0.5000 0.5000
S 0.1369 0.4667 0.3086
S 0.2226 0.2226 0.6532
S 0.4667 0.1369 0.3086
S 0.5333 0.8631 0.6914
S 0.7774 0.7774 0.3468
S 0.8631 0.5333 0.6914

Size of the total moment   0.00 μB per formula unit
Raw total energy   -4.625 eV per atom